Entry 1:
The following is a DFT calculation (PBE) of a geometry-optimized Ti3Ga4Au2 structure.

Calculated values
ΔH_f (0 K): -0.245 eV per atom
total DFT energy (no corrections): -4.95 eV/atom

Cell lengths 12.298, 10.269, 5.207 Å; angles 90.00, 103.20, 90.00 degrees
Space group C2/c (No. 15)
Unique sites:
Ti1 0.000 0.079 0.250 x4
Ti2 0.089 0.421 0.986 x8
Ga1 0.109 0.163 0.898 x8
Ga2 0.109 0.306 0.481 x8
Au1 0.220 0.060 0.579 x8

---

Entry 2:
The following is a DFT calculation (PBE) of a geometry-optimized TiGa2Au2 structure.

Calculated values
ΔH_f (0 K): -0.235 eV per atom
total DFT energy (no corrections): -4.34 eV/atom

Cell lengths 7.566, 4.357, 5.787 Å; angles 90.00, 116.03, 90.00 degrees
Space group C2/m (No. 12)
Unique sites:
Ti1 0.000 0.000 0.000 x2
Ga1 0.094 0.500 0.782 x4
Au1 0.217 0.000 0.652 x4

---

Entry 3:
The following is a DFT calculation (PBE) of a geometry-optimized Ti3Ga3Au structure.

Calculated values
ΔH_f (0 K): -0.251 eV per atom
total DFT energy (no corrections): -5.40 eV/atom

Cell lengths 9.459, 8.883, 5.745 Å; angles 90.00, 95.99, 90.00 degrees
Space group C2/m (No. 12)
Unique sites:
Ti1 0.000 0.174 0.000 x4
Ti2 0.000 0.279 0.500 x4
Ti3 0.139 0.000 0.506 x4
Ga1 0.053 0.500 0.225 x4
Ga2 0.242 0.265 0.258 x8
Au1 0.246 0.500 0.926 x4

---

Entry 4:
The following is a DFT calculation (PBE) of a geometry-optimized TiGaAu structure.

Calculated values
ΔH_f (0 K): -0.377 eV per atom
total DFT energy (no corrections): -5.11 eV/atom

Cell lengths 4.011, 4.815, 5.940 Å; angles 104.71, 90.10, 114.62 degrees
Space group P-1 (No. 2)
Unique sites:
Ti1 0.164 0.328 0.329 x2
Ga1 0.500 0.000 0.000 x1
Ga2 0.500 0.000 0.500 x1
Au1 0.163 0.326 0.822 x2

---

Entry 5:
The following is a DFT calculation (PBE) of a geometry-optimized Ti6Ga5Au structure.

Calculated values
ΔH_f (0 K): -0.465 eV per atom
total DFT energy (no corrections): -5.95 eV/atom

Cell lengths 3.991, 7.998, 11.966 Å; angles 90.00, 90.00, 90.00 degrees
Space group Immm (No. 71)
Unique sites:
Ti1 0.000 0.237 0.000 x4
Ti2 0.000 0.258 0.332 x8
Ga1 0.000 0.000 0.171 x4
Ga2 0.000 0.500 0.161 x4
Ga3 0.000 0.500 0.500 x2
Au1 0.000 0.000 0.500 x2

---

Entry 6:
The following is a DFT calculation (PBE) of a geometry-optimized Ti6Ga6Au structure.

Calculated values
ΔH_f (0 K): -0.293 eV per atom
total DFT energy (no corrections): -5.59 eV/atom

Cell lengths 5.2674, 5.2674, 9.0559 Å; angles 90.00, 90.00, 120.00 degrees
Space group P6/mmm (No. 191)
Unique sites:
Ti1 0.0000 0.0000 0.1407 x2
Ti2 0.3333 0.6667 0.0000 x2
Ti3 0.3333 0.6667 0.5000 x2
Ga1 0.0000 0.5000 0.2513 x6
Au1 0.0000 0.0000 0.5000 x1

---

Entry 7:
The following is a DFT calculation (PBE) of a geometry-optimized TiGaAu3 structure.

Calculated values
ΔH_f (0 K): 0.469 eV per atom
total DFT energy (no corrections): -3.68 eV/atom

Cell lengths 4.769, 4.769, 4.769 Å; angles 90.00, 90.00, 90.00 degrees
Space group Pm-3m (No. 221)
Unique sites:
Ti1 0.000 0.000 0.000 x1
Ga1 0.500 0.500 0.500 x1
Au1 0.000 0.500 0.500 x3

---

Entry 8:
The following is a DFT calculation (PBE) of a geometry-optimized TiGaAu2 structure.

Calculated values
ΔH_f (0 K): -0.213 eV per atom
total DFT energy (no corrections): -4.58 eV/atom

Cell lengths 2.857, 9.086, 5.474 Å; angles 90.00, 90.00, 90.00 degrees
Space group Amm2 (No. 38)
Unique sites:
Ti1 0.000 0.000 0.000 x2
Ga1 0.500 0.000 0.454 x2
Au1 0.500 0.230 0.747 x4

---

Entry 9:
The following is a DFT calculation (PBE) of a geometry-optimized TiGa2Au2 structure.

Calculated values
ΔH_f (0 K): -0.128 eV per atom
total DFT energy (no corrections): -4.23 eV/atom

Cell lengths 7.310, 7.310, 3.279 Å; angles 90.00, 90.00, 90.00 degrees
Space group P4/mbm (No. 127)
Unique sites:
Ti1 0.000 0.000 0.000 x2
Ga1 0.136 0.364 0.000 x4
Au1 0.167 0.667 0.500 x4

---

Entry 10:
The following is a DFT calculation (PBE) of a geometry-optimized TiGaAu structure.

Calculated values
ΔH_f (0 K): -0.353 eV per atom
total DFT energy (no corrections): -5.09 eV/atom

Cell lengths 3.945, 4.054, 6.498 Å; angles 90.00, 106.60, 90.00 degrees
Space group P2_1/m (No. 11)
Unique sites:
Ti1 0.247 0.250 0.494 x2
Ga1 0.402 0.750 0.824 x2
Au1 0.102 0.750 0.173 x2

---

Entry 11:
The following is a DFT calculation (PBE) of a geometry-optimized TiGaAu structure.

Calculated values
ΔH_f (0 K): -0.388 eV per atom
total DFT energy (no corrections): -5.12 eV/atom

Cell lengths 4.250, 12.491, 3.779 Å; angles 90.00, 90.00, 90.00 degrees
Space group Cmcm (No. 63)
Unique sites:
Ti1 0.000 0.084 0.250 x4
Ga1 0.000 0.425 0.250 x4
Au1 0.000 0.270 0.750 x4

---

Entry 12:
The following is a DFT calculation (PBE) of a geometry-optimized Ti2GaAu6 structure.

Calculated values
ΔH_f (0 K): -0.165 eV per atom
total DFT energy (no corrections): -4.44 eV/atom

Cell lengths 9.731, 7.943, 4.788 Å; angles 90.00, 119.22, 90.00 degrees
Space group C2/m (No. 12)
Unique sites:
Ti1 0.174 0.000 0.175 x4
Ga1 0.000 0.500 0.500 x2
Au1 0.000 0.310 0.000 x4
Au2 0.167 0.178 0.667 x8